Record 1
! HfSc2Nb PBE optimized geometry; values from VASP
&SYSTEM
  ibrav = 0, nat = 4, ntyp = 3
/
ATOMIC_SPECIES
Hf 178.49 Hf.upf
Nb 92.91 Nb.upf
Sc 44.96 Sc.upf
CELL_PARAMETERS angstrom
-0.7677 2.8244 -1.0611
0.2013 0.6275 -3.0428
-9.9294 -1.9818 -2.6583
ATOMIC_POSITIONS crystal
Hf 0.5000 0.5000 0.5000
Nb 0.0000 0.0000 0.0000
Sc 0.2533 0.2533 0.2402
Sc 0.7467 0.7467 0.7598
! - Crystal system: trigonal
! - Calculated total energy: -0.2950 Ha/atom



Record 2
! Hf2Sc2Nb PBE optimized geometry; values from VASP
&SYSTEM
  ibrav = 0, nat = 5, ntyp = 3
/
ATOMIC_SPECIES
Hf 178.49 Hf.upf
Sc 44.96 Sc.upf
Nb 92.91 Nb.upf
CELL_PARAMETERS angstrom
3.9801 0.0000 0.0000
0.0000 3.9801 0.0000
1.9900 1.9900 7.2113
ATOMIC_POSITIONS crystal
Hf 0.2500 0.7500 0.5000
Hf 0.7500 0.2500 0.5000
Sc 0.5911 0.5911 0.8178
Sc 0.4089 0.4089 0.1822
Nb 0.0000 0.0000 0.0000
! - Crystal system: tetragonal
! - Calculated total energy: -0.2910 Ha/atom



Record 3
! HfSc2Nb PBE optimized geometry; values from VASP
&SYSTEM
  ibrav = 0, nat = 4, ntyp = 3
/
ATOMIC_SPECIES
Nb 92.91 Nb.upf
Hf 178.49 Hf.upf
Sc 44.96 Sc.upf
CELL_PARAMETERS angstrom
-1.8432 2.1448 4.0556
-2.8914 3.9897 -0.4102
-4.8314 -0.3354 0.9955
ATOMIC_POSITIONS crystal
Nb 0.0000 0.0000 0.0000
Hf 0.5000 0.5000 0.5000
Sc 0.7500 0.7500 0.7500
Sc 0.2500 0.2500 0.2500
! - Crystal system: cubic
! - Calculated total energy: -0.2905 Ha/atom



Record 4
! HfScNb2 PBE optimized geometry; values from VASP
&SYSTEM
  ibrav = 0, nat = 8, ntyp = 3
/
ATOMIC_SPECIES
Nb 92.91 Nb.upf
Hf 178.49 Hf.upf
Sc 44.96 Sc.upf
CELL_PARAMETERS angstrom
7.5415 0.0000 0.0000
0.0000 7.5415 0.0000
3.7707 3.7707 2.9288
ATOMIC_POSITIONS crystal
Nb 0.1270 0.6250 0.2500
Nb 0.6230 0.1250 0.2500
Nb 0.8750 0.8730 0.7500
Nb 0.3750 0.3770 0.7500
Hf 0.7500 0.2500 0.5000
Hf 0.0000 0.0000 0.0000
Sc 0.2500 0.7500 0.5000
Sc 0.5000 0.5000 0.0000
! - Crystal system: tetragonal
! - Calculated total energy: -0.3114 Ha/atom



Record 5
! Hf3ScNb PBE optimized geometry; values from VASP
&SYSTEM
  ibrav = 0, nat = 10, ntyp = 3
/
ATOMIC_SPECIES
Hf 178.49 Hf.upf
Nb 92.91 Nb.upf
Sc 44.96 Sc.upf
CELL_PARAMETERS angstrom
-3.9637 -6.1757 -1.5571
-2.2244 -5.8849 -4.0860
4.9208 -9.1051 2.3374
ATOMIC_POSITIONS crystal
Hf 0.3774 0.3774 0.2414
Hf 0.6755 0.6755 0.4528
Hf 0.0693 0.0693 0.0599
Hf 0.9307 0.9307 0.9401
Hf 0.6226 0.6226 0.7586
Hf 0.3245 0.3245 0.5472
Nb 0.9792 0.9792 0.6417
Nb 0.0208 0.0208 0.3583
Sc 0.7118 0.7118 0.1551
Sc 0.2882 0.2882 0.8449
! - Crystal system: monoclinic
! - Calculated total energy: -0.3358 Ha/atom



Record 6
! HfScTa2Nb PBE optimized geometry; values from VASP
&SYSTEM
  ibrav = 0, nat = 5, ntyp = 4
/
ATOMIC_SPECIES
Ta 180.95 Ta.upf
Nb 92.91 Nb.upf
Sc 44.96 Sc.upf
Hf 178.49 Hf.upf
CELL_PARAMETERS angstrom
-0.7466 3.9222 2.8107
-2.5916 -2.7365 3.1304
4.0759 -1.0097 2.4917
ATOMIC_POSITIONS crystal
Ta 0.0000 0.0000 0.5000
Ta 0.5000 0.0000 0.0000
Nb 0.0000 0.0000 0.0000
Sc 0.0000 0.5000 0.0000
Hf 0.5000 0.5000 0.5000
! - Crystal system: tetragonal
! - Calculated total energy: -0.3246 Ha/atom



Record 7
! Hf2ScTaNb PBE optimized geometry; values from VASP
&SYSTEM
  ibrav = 0, nat = 5, ntyp = 4
/
ATOMIC_SPECIES
Hf 178.49 Hf.upf
Sc 44.96 Sc.upf
Nb 92.91 Nb.upf
Ta 180.95 Ta.upf
CELL_PARAMETERS angstrom
-1.2619 -3.8880 2.9540
-2.2692 -2.1390 -3.7847
4.2891 -2.3408 -1.2487
ATOMIC_POSITIONS crystal
Hf 0.5000 0.0000 0.0000
Hf 0.0000 0.0000 0.5000
Sc 0.0000 0.5000 0.0000
Nb 0.5000 0.5000 0.5000
Ta 0.0000 0.0000 0.0000
! - Crystal system: tetragonal
! - Calculated total energy: -0.3082 Ha/atom



Record 8
! HfScTiNb PBE optimized geometry; values from VASP
&SYSTEM
  ibrav = 0, nat = 4, ntyp = 4
/
ATOMIC_SPECIES
Ti 47.87 Ti.upf
Sc 44.96 Sc.upf
Nb 92.91 Nb.upf
Hf 178.49 Hf.upf
CELL_PARAMETERS angstrom
4.8317 0.0000 0.0000
2.4158 4.1843 0.0000
2.4158 1.3948 3.9450
ATOMIC_POSITIONS crystal
Ti 0.2500 0.2500 0.2500
Sc 0.5000 0.5000 0.5000
Nb 0.0000 0.0000 0.0000
Hf 0.7500 0.7500 0.7500
! - Crystal system: cubic
! - Calculated total energy: -0.3095 Ha/atom



Record 9
! Hf2ScNbTl PBE optimized geometry; values from VASP
&SYSTEM
  ibrav = 0, nat = 5, ntyp = 4
/
ATOMIC_SPECIES
Sc 44.96 Sc.upf
Hf 178.49 Hf.upf
Nb 92.91 Nb.upf
Tl 204.38 Tl.upf
CELL_PARAMETERS angstrom
-3.2467 2.7270 -2.9113
-0.2817 -3.5145 -2.9779
-3.9767 -1.9173 2.6388
ATOMIC_POSITIONS crystal
Sc 0.0000 0.0000 0.0000
Hf 0.5000 0.0000 0.0000
Hf 0.0000 0.0000 0.5000
Nb 0.0000 0.5000 0.0000
Tl 0.5000 0.5000 0.5000
! - Crystal system: tetragonal
! - Calculated total energy: -0.2366 Ha/atom



Record 10
! YHfScNb2 PBE optimized geometry; values from VASP
&SYSTEM
  ibrav = 0, nat = 5, ntyp = 4
/
ATOMIC_SPECIES
Nb 92.91 Nb.upf
Hf 178.49 Hf.upf
Y 88.91 Y.upf
Sc 44.96 Sc.upf
CELL_PARAMETERS angstrom
-3.4961 3.3687 -1.1887
-0.4702 -2.1708 -4.7689
-3.5442 -3.0630 1.7437
ATOMIC_POSITIONS crystal
Nb 0.0000 0.0000 0.5000
Nb 0.5000 0.0000 0.0000
Hf 0.0000 0.0000 0.0000
Y 0.5000 0.5000 0.5000
Sc 0.0000 0.5000 0.0000
! - Crystal system: tetragonal
! - Calculated total energy: -0.2793 Ha/atom



Record 11
! Hf2NbSe PBE optimized geometry; values from VASP
&SYSTEM
  ibrav = 0, nat = 8, ntyp = 3
/
ATOMIC_SPECIES
Se 78.96 Se.upf
Hf 178.49 Hf.upf
Nb 92.91 Nb.upf
CELL_PARAMETERS angstrom
4.1001 0.0000 0.0000
0.0000 4.1001 0.0000
2.0500 2.0500 9.8663
ATOMIC_POSITIONS crystal
Se 0.2500 0.7500 0.5000
Se 0.5000 0.5000 0.0000
Hf 0.3750 0.3789 0.7500
Hf 0.8750 0.8711 0.7500
Hf 0.1289 0.6250 0.2500
Hf 0.6211 0.1250 0.2500
Nb 0.0000 0.0000 0.0000
Nb 0.7500 0.2500 0.5000
! - Crystal system: tetragonal
! - E_form (uncorrected): 0.2449 eV/atom



Record 12
! HfNb4Se8 PBE optimized geometry; values from VASP
&SYSTEM
  ibrav = 0, nat = 13, ntyp = 3
/
ATOMIC_SPECIES
Se 78.96 Se.upf
Nb 92.91 Nb.upf
Hf 178.49 Hf.upf
CELL_PARAMETERS angstrom
6.2609 -0.0004 -3.3778
-4.0414 5.8545 -0.0004
0.0786 0.0548 7.6371
ATOMIC_POSITIONS crystal
Se 0.5029 0.7514 0.2543
Se 0.0137 0.7657 0.2617
Se 0.5040 0.7520 0.7383
Se 0.9863 0.7520 0.7383
Se 0.4971 0.2486 0.7457
Se 0.4960 0.2480 0.2617
Se 0.0137 0.2480 0.2617
Se 0.9863 0.2343 0.7383
Nb 0.0000 0.0000 0.0000
Nb 0.5000 0.5000 0.0000
Nb 0.5000 0.0000 0.0000
Nb 0.0000 0.5000 0.0000
Hf 0.0000 0.5000 0.5000
! - Crystal system: trigonal
! - E_form (uncorrected): -0.8326 eV/atom



Record 13
! HfNbSe PBE optimized geometry; values from VASP
&SYSTEM
  ibrav = 0, nat = 12, ntyp = 3
/
ATOMIC_SPECIES
Hf 178.49 Hf.upf
Se 78.96 Se.upf
Nb 92.91 Nb.upf
CELL_PARAMETERS angstrom
3.4140 0.0000 0.0000
0.0000 8.7283 0.0000
0.0000 0.0000 8.7283
ATOMIC_POSITIONS crystal
Hf 0.0000 0.5597 0.1424
Hf 0.5000 0.1424 0.4403
Hf 0.0000 0.4403 0.8576
Hf 0.5000 0.8576 0.5597
Se 0.5000 0.7409 0.2857
Se 0.5000 0.2591 0.7143
Se 0.0000 0.2857 0.2591
Se 0.0000 0.7143 0.7409
Nb 0.5000 0.1952 0.0287
Nb 0.5000 0.8048 0.9713
Nb 0.0000 0.0287 0.8048
Nb 0.0000 0.9713 0.1952
! - Crystal system: tetragonal
! - E_form (uncorrected): -0.3560 eV/atom